{
  "formula": "TlPbSeCl",
  "functional": "PBE",
  "state": "relaxed",
  "formation_energy_uncorrected_ev_per_atom": -0.5999,
  "dft_energy_ev_per_atom": -3.451,
  "n_ef_per_ev_cell": 0.2,
  "lattice": [[0.000, 3.796, 3.796], [3.796, 0.000, 3.796], [3.796, 3.796, 0.000]],
  "species": ["Tl", "Pb", "Se", "Cl"],
  "fractional_positions": [[0.000, 0.000, 0.000], [0.500, 0.500, 0.500], [0.750, 0.750, 0.750], [0.250, 0.250, 0.250]]
}

---

{
  "formula": "KRu2Br",
  "functional": "PBE",
  "state": "relaxed",
  "formation_energy_uncorrected_ev_per_atom": 0.7457,
  "dft_energy_ev_per_atom": -4.585,
  "n_ef_per_ev_cell": 4.8,
  "lattice": [[5.976, -1.490, 0.000], [5.976, 1.490, 0.000], [-2.776, 0.000, 5.380]],
  "species": ["K", "Ru", "Ru", "Br"],
  "fractional_positions": [[0.000, 0.000, 0.000], [0.202, 0.202, 0.595], [0.798, 0.798, 0.405], [0.500, 0.500, 0.500]]
}

---

{
  "formula": "Cr2CoBr",
  "functional": "PBE",
  "state": "relaxed",
  "formation_energy_uncorrected_ev_per_atom": 0.8217,
  "dft_energy_ev_per_atom": -6.185,
  "n_ef_per_ev_cell": 4.1,
  "lattice": [[4.253, 0.000, 0.000], [0.000, 4.253, 0.000], [0.000, 0.000, 2.794]],
  "species": ["Cr", "Cr", "Co", "Br"],
  "fractional_positions": [[0.000, 0.500, 0.000], [0.500, 0.000, 0.000], [0.000, 0.000, 0.500], [0.500, 0.500, 0.500]]
}

---

{
  "formula": "ErCd2Ag2",
  "functional": "PBE",
  "state": "relaxed",
  "ef_mev_per_atom": -211,
  "dft_energy_ev_per_atom": -2.630,
  "n_ef_per_ev_cell": 1.4,
  "lattice": [[4.917, 0.000, 0.000], [2.457, 4.319, 0.000], [2.418, -1.282, 4.981]],
  "species": ["Er", "Cd", "Cd", "Ag", "Ag"],
  "fractional_positions": [[0.000, 0.000, 0.000], [0.433, 0.781, 0.358], [0.567, 0.219, 0.642], [0.191, 0.401, 0.224], [0.809, 0.599, 0.776]]
}

---

| no. | energy relative to the lowest polymorph listed for this composition (meV per atom) |
| --- | --- |
| 1 | 150 |
| 2 | 432 |
| 3 | 371 |
| 4 | 0 |